Model a:
The following is a DFT calculation (PBE-GGA) of HoEr3Al2 after structural relaxation.

## Properties
Fermi-level density of states, states/eV per cell: 5.3

Cell: 4.7580 4.3727 7.6983 Å, 90.00 107.89 90.00°
Fractional positions:
Ho1 0.0000 0.0000 0.0000
Er1 0.1740 0.5000 0.3477
Er2 0.5000 0.5000 0.0000
Er3 0.8260 0.5000 0.6523
Al1 0.3423 0.0000 0.6842
Al2 0.6577 0.0000 0.3158

=====

Model b:
The following is a DFT calculation (PBE-GGA) of HoEr3Al2 after structural relaxation.

## Properties
Fermi-level density of states, states/eV per cell: 9.2

Cell: 5.0559 9.3843 6.5059 Å, 90.00 90.00 90.00°
Fractional positions:
Ho1 0.0000 0.0404 0.0000
Ho2 0.0000 0.9596 0.5000
Er1 0.0000 0.3223 0.6559
Er2 0.0000 0.6777 0.1559
Er3 0.5000 0.1788 0.2858
Er4 0.5000 0.4591 0.9419
Er5 0.5000 0.5409 0.4419
Er6 0.5000 0.8212 0.7858
Al1 0.0000 0.3540 0.1779
Al2 0.0000 0.6460 0.6779
Al3 0.5000 0.1463 0.7636
Al4 0.5000 0.8537 0.2636

=====

Energies in kJ/mol of atoms, measured from the most stable structure: model a 9.6; model b 0.0.

=====

Model a:
The following is a DFT calculation (PBE-GGA) of Ho2Er2Al after structural relaxation.

## Properties
Fermi-level density of states, states/eV per cell: 7.3

Cell: 6.4656 6.4656 8.7512 Å, 132.31 132.31 32.75°
Fractional positions:
Ho1 0.0842 0.0842 0.3569
Ho2 0.9158 0.9158 0.6431
Er1 0.2677 0.2677 0.1820
Er2 0.7323 0.7323 0.8180
Al1 0.5000 0.5000 0.0000

=====

Model b:
The following is a DFT calculation (PBE-GGA) of Ho2Er2Al after structural relaxation.

## Properties
Fermi-level density of states, states/eV per cell: 5.5

Cell: 9.1280 9.1280 9.1280 Å, 153.36 153.36 38.03°
Fractional positions:
Ho1 0.2500 0.7500 0.5000
Ho2 0.7500 0.2500 0.5000
Er1 0.0883 0.0883 0.0000
Er2 0.9117 0.9117 0.0000
Al1 0.5000 0.5000 0.0000

=====

Energies in kJ/mol of atoms, measured from the most stable structure: model a 0.0; model b 53.3.

=====

Model a:
The following is a DFT calculation (PBE-GGA) of HoErAl after structural relaxation.

## Properties
Fermi-level density of states, states/eV per cell: 1.8

Cell: 5.0362 5.0362 3.5208 Å, 90.00 90.00 120.00°
Fractional positions:
Ho1 0.0000 0.0000 0.0000
Er1 0.3333 0.6667 0.4409
Al1 0.6667 0.3333 0.7122

=====

Model b:
The following is a DFT calculation (PBE-GGA) of HoErAl after structural relaxation.

## Properties
Fermi-level density of states, states/eV per cell: 13.4

Cell: 8.0087 8.0087 4.3593 Å, 90.00 90.00 120.00°
Fractional positions:
Ho1 0.0000 0.2630 0.0000
Ho2 0.2630 0.0000 0.0000
Ho3 0.7370 0.7370 0.0000
Er1 0.0000 0.5961 0.5000
Er2 0.4039 0.4039 0.5000
Er3 0.5961 0.0000 0.5000
Al1 0.0000 0.0000 0.5000
Al2 0.3333 0.6667 0.0000
Al3 0.6667 0.3333 0.0000

=====

Energies in kJ/mol of atoms, measured from the most stable structure: model a 4.0; model b 0.0.

=====

Model a:
The following is a DFT calculation (PBE-GGA) of HoErAl after structural relaxation.

## Properties
Fermi-level density of states, states/eV per cell: 3.9

Cell: 8.1197 8.1197 8.1197 Å, 24.39 24.39 24.39°
Fractional positions:
Ho1 0.0000 0.0000 0.0000
Er1 0.2084 0.2084 0.2084
Al1 0.7718 0.7718 0.7718

=====

Model b:
The following is a DFT calculation (PBE-GGA) of HoErAl after structural relaxation.

## Properties
Fermi-level density of states, states/eV per cell: 2.1

Cell: 7.0827 7.0827 7.0827 Å, 152.06 152.06 39.93°
Fractional positions:
Ho1 0.0000 0.0000 0.0000
Er1 0.7013 0.7013 0.0000
Al1 0.3500 0.3500 0.0000

=====

Energies in kJ/mol of atoms, measured from the most stable structure: model a 21.6; model b 0.0.

=====

Model a:
The following is a DFT calculation (PBE-GGA) of HoErAl6 after structural relaxation.

## Properties
Fermi-level density of states, states/eV per cell: 3.6

Cell: 6.1291 6.1291 4.7393 Å, 90.00 90.00 120.00°
Fractional positions:
Ho1 0.0000 0.0000 0.0000
Er1 0.6667 0.3333 0.5000
Al1 0.0333 0.5167 0.0000
Al2 0.1836 0.3671 0.5000
Al3 0.1836 0.8164 0.5000
Al4 0.4833 0.5167 0.0000
Al5 0.4833 0.9667 0.0000
Al6 0.6329 0.8164 0.5000

=====

Model b:
The following is a DFT calculation (PBE-GGA) of HoErAl6 after structural relaxation.

## Properties
Fermi-level density of states, states/eV per cell: 5.1

Cell: 5.4825 5.4825 5.4825 Å, 90.00 90.00 90.00°
Fractional positions:
Ho1 0.0000 0.0000 0.0000
Er1 0.5000 0.5000 0.5000
Al1 0.0000 0.2501 0.5000
Al2 0.0000 0.7499 0.5000
Al3 0.2501 0.5000 0.0000
Al4 0.5000 0.0000 0.2501
Al5 0.5000 0.0000 0.7499
Al6 0.7499 0.5000 0.0000

=====

Energies in kJ/mol of atoms, measured from the most stable structure: model a 0.0; model b 30.8.

=====

Model a:
The following is a DFT calculation (PBE-GGA) of LaHoErAl after structural relaxation.

## Properties
Fermi-level density of states, states/eV per cell: 3.9

Cell: 3.5348 3.5348 9.1509 Å, 90.00 90.00 90.00°
Fractional positions:
La1 0.0000 0.0000 0.0000
Ho1 0.5000 0.5000 0.7036
Er1 0.5000 0.5000 0.2940
Al1 0.0000 0.0000 0.4978

=====

Model b:
The following is a DFT calculation (PBE-GGA) of LaHoErAl after structural relaxation.

## Properties
Fermi-level density of states, states/eV per cell: 7.0

Cell: 5.4186 5.4186 5.4186 Å, 60.00 60.00 60.00°
Fractional positions:
La1 0.0000 0.0000 0.0000
Ho1 0.7500 0.7500 0.7500
Er1 0.5000 0.5000 0.5000
Al1 0.2500 0.2500 0.2500

=====

Energies in kJ/mol of atoms, measured from the most stable structure: model a 0.0; model b 12.5.

=====

Model a:
The following is a DFT calculation (PBE-GGA) of NdHoErAl after structural relaxation.

## Properties
Fermi-level density of states, states/eV per cell: 7.0

Cell: 5.3815 5.3815 5.3815 Å, 60.00 60.00 60.00°
Fractional positions:
Nd1 0.0000 0.0000 0.0000
Ho1 0.2500 0.2500 0.2500
Er1 0.5000 0.5000 0.5000
Al1 0.7500 0.7500 0.7500

=====

Model b:
The following is a DFT calculation (PBE-GGA) of NdHoErAl after structural relaxation.

## Properties
Fermi-level density of states, states/eV per cell: 3.2

Cell: 3.5226 3.5226 9.0618 Å, 90.00 90.00 90.00°
Fractional positions:
Nd1 0.0000 0.0000 0.0000
Ho1 0.5000 0.5000 0.7076
Er1 0.5000 0.5000 0.2901
Al1 0.0000 0.0000 0.4979

=====

Energies in kJ/mol of atoms, measured from the most stable structure: model a 14.3; model b 0.0.

=====

Model a:
The following is a DFT calculation (PBE-GGA) of PrHoErAl after structural relaxation.

## Properties
Fermi-level density of states, states/eV per cell: 7.1

Cell: 5.3978 5.3978 5.3978 Å, 60.00 60.00 60.00°
Fractional positions:
Pr1 0.0000 0.0000 0.0000
Ho1 0.7500 0.7500 0.7500
Er1 0.5000 0.5000 0.5000
Al1 0.2500 0.2500 0.2500

=====

Model b:
The following is a DFT calculation (PBE-GGA) of PrHoErAl after structural relaxation.

## Properties
Fermi-level density of states, states/eV per cell: 3.2

Cell: 3.5331 3.5331 9.0830 Å, 90.00 90.00 90.00°
Fractional positions:
Pr1 0.0000 0.0000 0.0000
Ho1 0.5000 0.5000 0.7060
Er1 0.5000 0.5000 0.2915
Al1 0.0000 0.0000 0.4977

=====

Energies in kJ/mol of atoms, measured from the most stable structure: model a 14.5; model b 0.0.

=====

Model a:
The following is a DFT calculation (PBE-GGA) of TbHoErAl after structural relaxation.

## Properties
Fermi-level density of states, states/eV per cell: 6.4

Cell: 5.3269 5.3269 5.3269 Å, 60.00 60.00 60.00°
Fractional positions:
Tb1 0.0000 0.0000 0.0000
Ho1 0.7500 0.7500 0.7500
Er1 0.5000 0.5000 0.5000
Al1 0.2500 0.2500 0.2500

=====

Model b:
The following is a DFT calculation (PBE-GGA) of TbHoErAl after structural relaxation.

## Properties
Fermi-level density of states, states/eV per cell: 5.3

Cell: 4.7382 4.7440 4.7490 Å, 90.00 90.00 90.00°
Fractional positions:
Tb1 0.0000 0.0000 0.0000
Ho1 0.0000 0.5000 0.5000
Er1 0.5000 0.0000 0.5000
Al1 0.5000 0.5000 0.0000

=====

Energies in kJ/mol of atoms, measured from the most stable structure: model a 13.5; model b 0.0.

=====

Model a:
The following is a DFT calculation (PBE-GGA) of YHoErAl after structural relaxation.

## Properties
Fermi-level density of states, states/eV per cell: 6.4

Cell: 5.3312 5.3312 5.3312 Å, 60.00 60.00 60.00°
Fractional positions:
Y1 0.0000 0.0000 0.0000
Ho1 0.2500 0.2500 0.2500
Er1 0.5000 0.5000 0.5000
Al1 0.7500 0.7500 0.7500

=====

Model b:
The following is a DFT calculation (PBE-GGA) of YHoErAl after structural relaxation.

## Properties
Fermi-level density of states, states/eV per cell: 5.2

Cell: 4.7316 4.7379 4.7641 Å, 90.00 90.00 90.00°
Fractional positions:
Y1 0.0000 0.0000 0.0000
Ho1 0.0000 0.5000 0.5000
Er1 0.5000 0.0000 0.5000
Al1 0.5000 0.5000 0.0000

=====

Energies in kJ/mol of atoms, measured from the most stable structure: model a 13.5; model b 0.0.

=====

Model a:
The following is a DFT calculation (PBE-GGA) of Er6Al2In after structural relaxation.

## Properties
Fermi-level density of states, states/eV per cell: 12.5

Cell: 8.7491 8.7491 8.7491 Å, 146.44 131.76 60.04°
Fractional positions:
Er1 0.0765 0.3305 0.7460
Er2 0.2426 0.0000 0.2426
Er3 0.4155 0.6695 0.7460
Er4 0.5845 0.3305 0.2540
Er5 0.7574 0.0000 0.7574
Er6 0.9235 0.6695 0.2540
Al1 0.1670 0.1670 0.0000
Al2 0.8330 0.8330 0.0000
In1 0.5000 0.5000 0.0000

=====

Model b:
The following is a DFT calculation (PBE-GGA) of Er6Al2In after structural relaxation.

## Properties
Fermi-level density of states, states/eV per cell: 12.5

Cell: 8.6308 8.6308 8.6308 Å, 112.74 111.36 104.43°
Fractional positions:
Er1 0.0292 0.8207 0.2085
Er2 0.2438 0.5415 0.2977
Er3 0.2438 0.9461 0.7023
Er4 0.2750 0.3151 0.5901
Er5 0.2750 0.6849 0.9599
Er6 0.3879 0.1793 0.2085
Er7 0.6121 0.8207 0.7915
Er8 0.7250 0.3151 0.0401
Er9 0.7250 0.6849 0.4099
Er10 0.7562 0.0539 0.2977
Er11 0.7562 0.4585 0.7023
Er12 0.9708 0.1793 0.7915
Al1 0.0000 0.1437 0.1437
Al2 0.0000 0.8563 0.8563
Al3 0.3782 0.3782 0.0000
Al4 0.6218 0.6218 0.0000
In1 0.0000 0.5000 0.5000
In2 0.5000 0.0000 0.5000

=====

Energies in kJ/mol of atoms, measured from the most stable structure: model a 25.0; model b 0.0.

=====

Model a:
The following is a DFT calculation (PBE-GGA) of Er4AlIn2 after structural relaxation.

## Properties
Fermi-level density of states, states/eV per cell: 7.2

Cell: 8.9230 8.9230 8.9230 Å, 33.52 33.52 33.52°
Fractional positions:
Er1 0.1227 0.1227 0.1227
Er2 0.3741 0.3741 0.3741
Er3 0.6259 0.6259 0.6259
Er4 0.8773 0.8773 0.8773
Al1 0.5000 0.5000 0.5000
In1 0.2512 0.2512 0.2512
In2 0.7488 0.7488 0.7488

=====

Model b:
The following is a DFT calculation (PBE-GGA) of Er4AlIn2 after structural relaxation.

## Properties
Fermi-level density of states, states/eV per cell: 7.6

Cell: 7.6547 7.6547 7.6547 Å, 137.05 137.05 62.37°
Fractional positions:
Er1 0.0000 0.5000 0.5000
Er2 0.2500 0.7500 0.5000
Er3 0.5000 0.0000 0.5000
Er4 0.7500 0.2500 0.5000
Al1 0.0000 0.0000 0.0000
In1 0.3747 0.3747 0.0000
In2 0.6253 0.6253 0.0000

=====

Energies in kJ/mol of atoms, measured from the most stable structure: model a 0.0; model b 26.5.

=====

Model a:
The following is a DFT calculation (PBE-GGA) of SmErAlIn after structural relaxation.

## Properties
Fermi-level density of states, states/eV per cell: 2.1

Cell: 3.6750 3.6750 7.5322 Å, 90.00 90.00 90.00°
Fractional positions:
Sm1 0.0000 0.0000 0.0000
Er1 0.0000 0.0000 0.4783
Al1 0.5000 0.5000 0.2496
In1 0.5000 0.5000 0.7278

=====

Model b:
The following is a DFT calculation (PBE-GGA) of SmErAlIn after structural relaxation.

## Properties
Fermi-level density of states, states/eV per cell: 1.6

Cell: 5.2474 5.2474 5.2474 Å, 60.00 60.00 60.00°
Fractional positions:
Sm1 0.0000 0.0000 0.0000
Er1 0.5000 0.5000 0.5000
Al1 0.7500 0.7500 0.7500
In1 0.2500 0.2500 0.2500

=====

Energies in kJ/mol of atoms, measured from the most stable structure: model a 0.0; model b 1.4.